# Sr2Li6HgRh PBE relaxed
data_Sr2Li6HgRh
_cell_length_a 7.085
_cell_length_b 7.085
_cell_length_c 7.085
_cell_angle_alpha 120.91
_cell_angle_beta 118.98
_cell_angle_gamma 90.10
_symmetry_space_group_name_H-M 'P 1'
_symmetry_Int_Tables_number 1
loop_
_symmetry_equiv_pos_as_xyz
'x,y,z'
loop_
_atom_site_label
_atom_site_fract_x
_atom_site_fract_y
_atom_site_fract_z
Sr1 0.249 0.249 0.000
Sr2 0.751 0.751 0.000
Li1 0.238 0.260 0.498
Li2 0.238 0.740 0.978
Li3 0.239 0.739 0.500
Li4 0.761 0.261 0.500
Li5 0.762 0.260 0.022
Li6 0.762 0.740 0.502
Hg1 0.500 0.000 0.500
Rh1 0.000 0.500 0.500
# Spin magnetization   0.00 μB per formula unit
# Theoretical density   3.435 Mg/m³
# Energy relative to the elements   -1.31 kcal/mol of atoms
# D(E_F)   3.6 states/eV/f.u.



# SrLiHgRh PBE relaxed
data_SrLiHgRh
_cell_length_a 6.958
_cell_length_b 6.958
_cell_length_c 6.958
_cell_angle_alpha 90.00
_cell_angle_beta 90.00
_cell_angle_gamma 90.00
_symmetry_space_group_name_H-M 'P 1'
_symmetry_Int_Tables_number 1
loop_
_symmetry_equiv_pos_as_xyz
'x,y,z'
loop_
_atom_site_label
_atom_site_fract_x
_atom_site_fract_y
_atom_site_fract_z
Sr1 0.000 0.000 0.000
Sr2 0.000 0.500 0.500
Sr3 0.500 0.000 0.500
Sr4 0.500 0.500 0.000
Li1 0.250 0.250 0.250
Li2 0.250 0.750 0.750
Li3 0.750 0.250 0.750
Li4 0.750 0.750 0.250
Hg1 0.000 0.000 0.500
Hg2 0.000 0.500 0.000
Hg3 0.500 0.000 0.000
Hg4 0.500 0.500 0.500
Rh1 0.250 0.250 0.750
Rh2 0.250 0.750 0.250
Rh3 0.750 0.250 0.250
Rh4 0.750 0.750 0.750
# Spin magnetization   0.00 μB per formula unit
# Theoretical density   7.847 Mg/m³
# Energy relative to the elements   -4.54 kcal/mol of atoms
# D(E_F)   2.0 states/eV/f.u.



# LiTbHgRh PBE relaxed
data_LiTbHgRh
_cell_length_a 6.738
_cell_length_b 6.738
_cell_length_c 6.738
_cell_angle_alpha 90.00
_cell_angle_beta 90.00
_cell_angle_gamma 90.00
_symmetry_space_group_name_H-M 'P 1'
_symmetry_Int_Tables_number 1
loop_
_symmetry_equiv_pos_as_xyz
'x,y,z'
loop_
_atom_site_label
_atom_site_fract_x
_atom_site_fract_y
_atom_site_fract_z
Li1 0.000 0.000 0.000
Li2 0.000 0.500 0.500
Li3 0.500 0.000 0.500
Li4 0.500 0.500 0.000
Tb1 0.250 0.250 0.750
Tb2 0.250 0.750 0.250
Tb3 0.750 0.250 0.250
Tb4 0.750 0.750 0.750
Hg1 0.250 0.250 0.250
Hg2 0.250 0.750 0.750
Hg3 0.750 0.250 0.750
Hg4 0.750 0.750 0.250
Rh1 0.000 0.000 0.500
Rh2 0.000 0.500 0.000
Rh3 0.500 0.000 0.000
Rh4 0.500 0.500 0.500
# Spin magnetization   0.00 μB per formula unit
# Theoretical density   10.191 Mg/m³
# Energy relative to the elements   -9.98 kcal/mol of atoms
# D(E_F)   1.8 states/eV/f.u.



# LiTcHgRh2 PBE relaxed
data_LiTcHgRh2
_cell_length_a 4.258
_cell_length_b 4.258
_cell_length_c 4.317
_cell_angle_alpha 90.00
_cell_angle_beta 90.00
_cell_angle_gamma 90.00
_symmetry_space_group_name_H-M 'P 1'
_symmetry_Int_Tables_number 1
loop_
_symmetry_equiv_pos_as_xyz
'x,y,z'
loop_
_atom_site_label
_atom_site_fract_x
_atom_site_fract_y
_atom_site_fract_z
Li1 0.000 0.000 0.000
Tc1 0.500 0.500 0.500
Hg1 0.000 0.000 0.500
Rh1 0.000 0.500 0.000
Rh2 0.500 0.000 0.000
# Spin magnetization   3.90 μB per formula unit
# Theoretical density   10.848 Mg/m³
# Energy relative to the elements   19.56 kcal/mol of atoms
# D(E_F)   4.2 states/eV/f.u.



# LiTmHgRh PBE relaxed
data_LiTmHgRh
_cell_length_a 6.670
_cell_length_b 6.670
_cell_length_c 6.670
_cell_angle_alpha 90.00
_cell_angle_beta 90.00
_cell_angle_gamma 90.00
_symmetry_space_group_name_H-M 'P 1'
_symmetry_Int_Tables_number 1
loop_
_symmetry_equiv_pos_as_xyz
'x,y,z'
loop_
_atom_site_label
_atom_site_fract_x
_atom_site_fract_y
_atom_site_fract_z
Li1 0.000 0.000 0.000
Li2 0.000 0.500 0.500
Li3 0.500 0.000 0.500
Li4 0.500 0.500 0.000
Tm1 0.250 0.250 0.750
Tm2 0.250 0.750 0.250
Tm3 0.750 0.250 0.250
Tm4 0.750 0.750 0.750
Hg1 0.250 0.250 0.250
Hg2 0.250 0.750 0.750
Hg3 0.750 0.250 0.750
Hg4 0.750 0.750 0.250
Rh1 0.000 0.000 0.500
Rh2 0.000 0.500 0.000
Rh3 0.500 0.000 0.000
Rh4 0.500 0.500 0.500
# Spin magnetization   0.00 μB per formula unit
# Theoretical density   10.729 Mg/m³
# Energy relative to the elements   -10.46 kcal/mol of atoms
# D(E_F)   1.9 states/eV/f.u.



# LiHg3Ru PBE relaxed
data_LiHg3Ru
_cell_length_a 4.713
_cell_length_b 4.713
_cell_length_c 4.713
_cell_angle_alpha 90.00
_cell_angle_beta 90.00
_cell_angle_gamma 90.00
_symmetry_space_group_name_H-M 'P 1'
_symmetry_Int_Tables_number 1
loop_
_symmetry_equiv_pos_as_xyz
'x,y,z'
loop_
_atom_site_label
_atom_site_fract_x
_atom_site_fract_y
_atom_site_fract_z
Li1 0.000 0.000 0.000
Hg1 0.000 0.000 0.500
Hg2 0.000 0.500 0.000
Hg3 0.500 0.000 0.000
Ru1 0.500 0.500 0.500
# Relative energy among the computed polymorphs   437 meV/atom
# Spin magnetization   2.32 μB per formula unit
# Theoretical density   11.257 Mg/m³
# Energy relative to the elements   18.22 kcal/mol of atoms
# D(E_F)   8.4 states/eV/f.u.



# Li4HgRu PBE relaxed
data_Li4HgRu
_cell_length_a 4.925
_cell_length_b 4.925
_cell_length_c 4.925
_cell_angle_alpha 60.00
_cell_angle_beta 60.00
_cell_angle_gamma 60.00
_symmetry_space_group_name_H-M 'P 1'
_symmetry_Int_Tables_number 1
loop_
_symmetry_equiv_pos_as_xyz
'x,y,z'
loop_
_atom_site_label
_atom_site_fract_x
_atom_site_fract_y
_atom_site_fract_z
Li1 0.123 0.123 0.123
Li2 0.123 0.123 0.630
Li3 0.123 0.630 0.123
Li4 0.630 0.123 0.123
Hg1 0.500 0.500 0.500
Ru1 0.750 0.750 0.750
# Spin magnetization   0.00 μB per formula unit
# Theoretical density   6.476 Mg/m³
# Energy relative to the elements   3.65 kcal/mol of atoms
# D(E_F)   2.7 states/eV/f.u.



# LiHg3Ru PBE relaxed
data_LiHg3Ru
_cell_length_a 5.244
_cell_length_b 5.244
_cell_length_c 5.244
_cell_angle_alpha 90.00
_cell_angle_beta 90.00
_cell_angle_gamma 90.00
_symmetry_space_group_name_H-M 'P 1'
_symmetry_Int_Tables_number 1
loop_
_symmetry_equiv_pos_as_xyz
'x,y,z'
loop_
_atom_site_label
_atom_site_fract_x
_atom_site_fract_y
_atom_site_fract_z
Li1 0.000 0.000 0.000
Hg1 0.000 0.500 0.500
Hg2 0.500 0.000 0.500
Hg3 0.500 0.500 0.000
Ru1 0.500 0.500 0.500
# Relative energy among the computed polymorphs   0 meV/atom
# Spin magnetization   0.12 μB per formula unit
# Theoretical density   8.175 Mg/m³
# Energy relative to the elements   8.13 kcal/mol of atoms
# D(E_F)   3.1 states/eV/f.u.



# LiHgRu3 PBE relaxed
data_LiHgRu3
_cell_length_a 4.207
_cell_length_b 4.207
_cell_length_c 4.207
_cell_angle_alpha 90.00
_cell_angle_beta 90.00
_cell_angle_gamma 90.00
_symmetry_space_group_name_H-M 'P 1'
_symmetry_Int_Tables_number 1
loop_
_symmetry_equiv_pos_as_xyz
'x,y,z'
loop_
_atom_site_label
_atom_site_fract_x
_atom_site_fract_y
_atom_site_fract_z
Li1 0.000 0.000 0.000
Hg1 0.500 0.500 0.500
Ru1 0.000 0.000 0.500
Ru2 0.000 0.500 0.000
Ru3 0.500 0.000 0.000
# Relative energy among the computed polymorphs   0 meV/atom
# Spin magnetization   2.19 μB per formula unit
# Theoretical density   11.388 Mg/m³
# Energy relative to the elements   25.94 kcal/mol of atoms
# D(E_F)   5.5 states/eV/f.u.



# LiHgRu4 PBE relaxed
data_LiHgRu4
_cell_length_a 5.167
_cell_length_b 5.167
_cell_length_c 5.167
_cell_angle_alpha 60.00
_cell_angle_beta 60.00
_cell_angle_gamma 60.00
_symmetry_space_group_name_H-M 'P 1'
_symmetry_Int_Tables_number 1
loop_
_symmetry_equiv_pos_as_xyz
'x,y,z'
loop_
_atom_site_label
_atom_site_fract_x
_atom_site_fract_y
_atom_site_fract_z
Li1 0.000 0.000 0.000
Hg1 0.250 0.250 0.250
Ru1 0.125 0.625 0.625
Ru2 0.625 0.125 0.625
Ru3 0.625 0.625 0.125
Ru4 0.625 0.625 0.625
# Spin magnetization   2.61 μB per formula unit
# Theoretical density   10.415 Mg/m³
# Energy relative to the elements   12.41 kcal/mol of atoms
# D(E_F)   8.6 states/eV/f.u.



# Li2Hg2Ru PBE relaxed
data_Li2Hg2Ru
_cell_length_a 7.626
_cell_length_b 7.626
_cell_length_c 2.878
_cell_angle_alpha 90.00
_cell_angle_beta 90.00
_cell_angle_gamma 90.00
_symmetry_space_group_name_H-M 'P 1'
_symmetry_Int_Tables_number 1
loop_
_symmetry_equiv_pos_as_xyz
'x,y,z'
loop_
_atom_site_label
_atom_site_fract_x
_atom_site_fract_y
_atom_site_fract_z
Li1 0.157 0.343 0.000
Li2 0.343 0.843 0.000
Li3 0.657 0.157 0.000
Li4 0.843 0.657 0.000
Hg1 0.146 0.646 0.500
Hg2 0.354 0.146 0.500
Hg3 0.646 0.854 0.500
Hg4 0.854 0.354 0.500
Ru1 0.000 0.000 0.500
Ru2 0.500 0.500 0.500
# Spin magnetization   0.00 μB per formula unit
# Theoretical density   10.241 Mg/m³
# Energy relative to the elements   3.85 kcal/mol of atoms
# D(E_F)   2.7 states/eV/f.u.



# LiSc2HgRu PBE relaxed
data_LiSc2HgRu
_cell_length_a 4.889
_cell_length_b 4.889
_cell_length_c 4.800
_cell_angle_alpha 90.00
_cell_angle_beta 90.00
_cell_angle_gamma 90.00
_symmetry_space_group_name_H-M 'P 1'
_symmetry_Int_Tables_number 1
loop_
_symmetry_equiv_pos_as_xyz
'x,y,z'
loop_
_atom_site_label
_atom_site_fract_x
_atom_site_fract_y
_atom_site_fract_z
Li1 0.000 0.000 0.000
Sc1 0.000 0.500 0.500
Sc2 0.500 0.000 0.500
Hg1 0.500 0.500 0.000
Ru1 0.000 0.000 0.500
# Spin magnetization   0.00 μB per formula unit
# Theoretical density   5.768 Mg/m³
# Energy relative to the elements   0.08 kcal/mol of atoms
# D(E_F)   3.0 states/eV/f.u.



# LiTa2HgRu PBE relaxed
data_LiTa2HgRu
_cell_length_a 4.774
_cell_length_b 4.774
_cell_length_c 4.615
_cell_angle_alpha 90.00
_cell_angle_beta 90.00
_cell_angle_gamma 90.00
_symmetry_space_group_name_H-M 'P 1'
_symmetry_Int_Tables_number 1
loop_
_symmetry_equiv_pos_as_xyz
'x,y,z'
loop_
_atom_site_label
_atom_site_fract_x
_atom_site_fract_y
_atom_site_fract_z
Li1 0.000 0.000 0.000
Ta1 0.000 0.500 0.500
Ta2 0.500 0.000 0.500
Hg1 0.500 0.500 0.000
Ru1 0.000 0.000 0.500
# Spin magnetization   0.00 μB per formula unit
# Theoretical density   10.586 Mg/m³
# Energy relative to the elements   20.52 kcal/mol of atoms
# D(E_F)   5.3 states/eV/f.u.



# Li2TlHgRu PBE relaxed
data_Li2TlHgRu
_cell_length_a 4.819
_cell_length_b 4.819
_cell_length_c 5.209
_cell_angle_alpha 90.00
_cell_angle_beta 90.00
_cell_angle_gamma 90.00
_symmetry_space_group_name_H-M 'P 1'
_symmetry_Int_Tables_number 1
loop_
_symmetry_equiv_pos_as_xyz
'x,y,z'
loop_
_atom_site_label
_atom_site_fract_x
_atom_site_fract_y
_atom_site_fract_z
Li1 0.000 0.500 0.000
Li2 0.500 0.000 0.000
Tl1 0.000 0.000 0.500
Hg1 0.500 0.500 0.500
Ru1 0.500 0.500 0.000
# Spin magnetization   0.49 μB per formula unit
# Theoretical density   7.138 Mg/m³
# Energy relative to the elements   12.38 kcal/mol of atoms
# D(E_F)   3.7 states/eV/f.u.



# Li3HgS PBE relaxed
data_Li3HgS
_cell_length_a 4.649
_cell_length_b 4.649
_cell_length_c 4.649
_cell_angle_alpha 90.00
_cell_angle_beta 90.00
_cell_angle_gamma 90.00
_symmetry_space_group_name_H-M 'P 1'
_symmetry_Int_Tables_number 1
loop_
_symmetry_equiv_pos_as_xyz
'x,y,z'
loop_
_atom_site_label
_atom_site_fract_x
_atom_site_fract_y
_atom_site_fract_z
Li1 0.000 0.000 0.500
Li2 0.000 0.500 0.000
Li3 0.500 0.000 0.000
Hg1 0.500 0.500 0.500
S1 0.000 0.000 0.000
# ΔE_f (raw)   -0.740 eV per atom
# Relative energy among the computed polymorphs   0 meV/atom
# Spin magnetization   0.00 μB per formula unit
# Theoretical density   4.189 Mg/m³
# D(E_F)   2.9 states/eV/f.u.



# Li3HgS3 PBE relaxed
data_Li3HgS3
_cell_length_a 8.933
_cell_length_b 8.933
_cell_length_c 4.831
_cell_angle_alpha 90.00
_cell_angle_beta 90.00
_cell_angle_gamma 120.00
_symmetry_space_group_name_H-M 'P 1'
_symmetry_Int_Tables_number 1
loop_
_symmetry_equiv_pos_as_xyz
'x,y,z'
loop_
_atom_site_label
_atom_site_fract_x
_atom_site_fract_y
_atom_site_fract_z
Li1 0.137 0.301 0.250
Li2 0.163 0.863 0.250
Li3 0.301 0.163 0.750
Li4 0.699 0.837 0.250
Li5 0.837 0.137 0.750
Li6 0.863 0.699 0.750
Hg1 0.333 0.667 0.750
Hg2 0.667 0.333 0.250
S1 0.160 0.348 0.750
S2 0.187 0.840 0.750
S3 0.348 0.187 0.250
S4 0.652 0.813 0.750
S5 0.813 0.160 0.250
S6 0.840 0.652 0.250
# ΔE_f (raw)   -0.668 eV per atom
# Spin magnetization   0.87 μB per formula unit
# Theoretical density   3.160 Mg/m³
# D(E_F)   4.9 states/eV/f.u.



# LiHg2S PBE relaxed
data_LiHg2S
_cell_length_a 4.090
_cell_length_b 4.090
_cell_length_c 24.669
_cell_angle_alpha 90.00
_cell_angle_beta 90.00
_cell_angle_gamma 120.00
_symmetry_space_group_name_H-M 'P 1'
_symmetry_Int_Tables_number 1
loop_
_symmetry_equiv_pos_as_xyz
'x,y,z'
loop_
_atom_site_label
_atom_site_fract_x
_atom_site_fract_y
_atom_site_fract_z
Li1 0.000 0.000 0.000
Li2 0.333 0.667 0.667
Li3 0.667 0.333 0.333
Hg1 0.000 0.000 0.105
Hg2 0.000 0.000 0.895
Hg3 0.333 0.667 0.562
Hg4 0.333 0.667 0.772
Hg5 0.667 0.333 0.228
Hg6 0.667 0.333 0.438
S1 0.000 0.000 0.500
S2 0.333 0.667 0.167
S3 0.667 0.333 0.833
# ΔE_f (raw)   0.075 eV per atom
# Spin magnetization   0.00 μB per formula unit
# Theoretical density   6.135 Mg/m³
# D(E_F)   3.8 states/eV/f.u.



# LiHgS3 PBE relaxed
data_LiHgS3
_cell_length_a 4.539
_cell_length_b 4.539
_cell_length_c 4.539
_cell_angle_alpha 90.00
_cell_angle_beta 90.00
_cell_angle_gamma 90.00
_symmetry_space_group_name_H-M 'P 1'
_symmetry_Int_Tables_number 1
loop_
_symmetry_equiv_pos_as_xyz
'x,y,z'
loop_
_atom_site_label
_atom_site_fract_x
_atom_site_fract_y
_atom_site_fract_z
Li1 0.000 0.000 0.000
Hg1 0.500 0.500 0.500
S1 0.000 0.000 0.500
S2 0.000 0.500 0.000
S3 0.500 0.000 0.000
# ΔE_f (raw)   0.506 eV per atom
# Spin magnetization   0.00 μB per formula unit
# Theoretical density   5.395 Mg/m³
# D(E_F)   6.1 states/eV/f.u.



# LiHg3S PBE relaxed
data_LiHg3S
_cell_length_a 5.388
_cell_length_b 5.388
_cell_length_c 5.388
_cell_angle_alpha 90.00
_cell_angle_beta 90.00
_cell_angle_gamma 90.00
_symmetry_space_group_name_H-M 'P 1'
_symmetry_Int_Tables_number 1
loop_
_symmetry_equiv_pos_as_xyz
'x,y,z'
loop_
_atom_site_label
_atom_site_fract_x
_atom_site_fract_y
_atom_site_fract_z
Li1 0.000 0.000 0.000
Hg1 0.000 0.500 0.500
Hg2 0.500 0.000 0.500
Hg3 0.500 0.500 0.000
S1 0.500 0.500 0.500
# ΔE_f (raw)   0.272 eV per atom
# Relative energy among the computed polymorphs   9 meV/atom
# Spin magnetization   0.00 μB per formula unit
# Theoretical density   6.804 Mg/m³
# D(E_F)   3.0 states/eV/f.u.



# LiHg4S5 PBE relaxed
data_LiHg4S5
_cell_length_a 6.717
_cell_length_b 6.717
_cell_length_c 6.717
_cell_angle_alpha 103.58
_cell_angle_beta 103.58
_cell_angle_gamma 122.03
_symmetry_space_group_name_H-M 'P 1'
_symmetry_Int_Tables_number 1
loop_
_symmetry_equiv_pos_as_xyz
'x,y,z'
loop_
_atom_site_label
_atom_site_fract_x
_atom_site_fract_y
_atom_site_fract_z
Li1 0.000 0.000 0.000
Hg1 0.183 0.582 0.800
Hg2 0.382 0.183 0.601
Hg3 0.582 0.781 0.399
Hg4 0.781 0.382 0.200
S1 0.001 0.195 0.414
S2 0.195 0.782 0.195
S3 0.380 0.380 0.000
S4 0.587 0.001 0.805
S5 0.782 0.587 0.586
# ΔE_f (raw)   -0.126 eV per atom
# Spin magnetization   0.00 μB per formula unit
# Theoretical density   7.163 Mg/m³
# D(E_F)   3.8 states/eV/f.u.